(1)
Here is a relaxed Zn2ReAs crystal from the Alexandria database. Energies are from PBE-GGA.

Lattice parameters (Å, degrees): 2.7712 4.9298 4.7532 90.00 102.30 90.00
Space group P2/m (No. 10)
One atom of each set of equivalent atoms:
Zn: 0.1780 0.0000 0.2668 [2 per cell]
Re: 0.5000 0.5000 0.5000 [1 per cell]
As: 0.0000 0.5000 0.0000 [1 per cell]

***

(2)
Here is a relaxed Zn2ReAs crystal from the Alexandria database. Energies are from PBE-GGA.

Lattice parameters (Å, degrees): 2.7945 4.5298 4.8637 90.00 93.00 90.00
Space group Pm (No. 6)
One atom of each set of equivalent atoms:
Zn: 0.0000 0.0000 0.0000 [1 per cell]
Zn: 0.0352 0.5000 0.7114 [1 per cell]
Re: 0.5110 0.0000 0.5029 [1 per cell]
As: 0.4653 0.5000 0.2361 [1 per cell]

***

(3)
Here is a relaxed Zn4ReAs crystal from the Alexandria database. Energies are from PBE-GGA.

Lattice parameters (Å, degrees): 7.0754 7.0754 7.0754 90.00 90.00 90.00
Space group F-43m (No. 216)
One atom of each set of equivalent atoms:
Zn: 0.1238 0.1238 0.1238 [16 per cell]
Re: 0.2500 0.2500 0.7500 [4 per cell]
As: 0.0000 0.0000 0.5000 [4 per cell]

***

(4)
Here is a relaxed Zn2ReAs crystal from the Alexandria database. Energies are from PBE-GGA.

Lattice parameters (Å, degrees): 2.7334 2.7334 8.5944 90.00 90.00 90.00
Space group P4/mmm (No. 123)
One atom of each set of equivalent atoms:
Zn: 0.0000 0.0000 0.2302 [2 per cell]
Re: 0.5000 0.5000 0.0000 [1 per cell]
As: 0.5000 0.5000 0.5000 [1 per cell]

***

Number 1: E -4.5345 eV/atom, mass density 10.3 g/cm³. Number 2: E -4.6502 eV/atom, mass density 10.6 g/cm³. Number 3: E -3.3517 eV/atom, mass density 9.8 g/cm³. Number 4: E -4.5351 eV/atom, mass density 10.1 g/cm³.